Pr3Ni PBE relaxed; formation energy from the elements = 0.826 eV/f.u.
1.0
-2.328 2.328 5.220
2.328 -2.328 5.220
2.328 2.328 -5.220
Ni Pr
1 3
Direct
0.000 0.000 0.000 Ni
0.500 0.500 0.000 Pr
0.250 0.750 0.500 Pr
0.750 0.250 0.500 Pr

***

NdAgGeTe3 PBE relaxed; energy = -49.9 eV/cell
1.0
4.255 0.000 0.000
2.127 7.306 0.000
0.000 0.000 11.404
Te Ge Ag Nd
6 2 2 2
Direct
0.653 0.694 0.071 Te
0.653 0.694 0.429 Te
0.347 0.306 0.929 Te
0.108 0.784 0.750 Te
0.892 0.216 0.250 Te
0.347 0.306 0.571 Te
0.782 0.436 0.750 Ge
0.218 0.564 0.250 Ge
0.480 0.040 0.750 Ag
0.520 0.960 0.250 Ag
0.000 0.000 0.000 Nd
0.000 0.000 0.500 Nd

***

La3Mg3InPt2 PBE relaxed; energy = -40.7 eV/cell
1.0
7.635 0.000 0.000
-3.818 6.612 0.000
0.000 0.000 4.431
Mg Pt La In
3 2 3 1
Direct
0.750 0.000 0.500 Mg
0.000 0.750 0.500 Mg
0.250 0.250 0.500 Mg
0.333 0.667 0.500 Pt
0.667 0.333 0.500 Pt
0.430 0.000 0.000 La
0.000 0.430 0.000 La
0.570 0.570 0.000 La
0.000 0.000 0.000 In

***

MgSn2Mo PBE relaxed; energy = -18.0 eV/cell
1.0
0.941 3.046 3.755
-3.666 1.516 2.920
-0.295 -1.640 4.635
Mg Mo Sn
1 1 2
Direct
0.500 0.500 0.500 Mg
0.750 0.750 0.750 Mo
0.000 0.000 0.000 Sn
0.250 0.250 0.250 Sn